1.
# Li2Pm2PdO6

Crystalline Li2Pm2PdO6 at its relaxed geometry (PBE, the Alexandria database).

extended XYZ file:
```
11
Lattice="5.616 0.000 0.000 2.808 4.864 0.000 2.808 1.621 5.007" Properties=species:S:1:pos:R:3 pbc="T T T"
Li 5.616 3.243 3.665
Li 5.616 3.243 1.343
Pm 8.424 4.864 3.179
Pm 2.808 1.621 1.828
Pd 0.000 0.000 0.000
O 7.139 4.122 1.367
O 4.093 4.122 1.367
O 5.616 1.484 1.367
O 5.616 5.001 3.641
O 7.139 2.363 3.641
O 4.093 2.363 3.641
```

Computed properties:
Its raw formation energy is -1.96 eV/atom.

2.
# Y3HoEr4

Crystalline Y3HoEr4 at its relaxed geometry (PBE, the Alexandria database).

extended XYZ file:
```
8
Lattice="3.437 0.000 -0.434 -0.169 6.461 -1.343 -0.260 -0.928 11.774" Properties=species:S:1:pos:R:3 pbc="T T T"
Y -0.085 3.231 -0.672
Y 0.217 5.457 1.716
Y 2.791 0.076 8.281
Ho 1.719 0.000 -0.217
Er 2.375 1.123 4.984
Er 0.633 4.410 5.013
Er 0.302 2.143 2.391
Er 2.706 3.391 7.606
```

Computed properties:
The value obtained for the formation energy is 0.170 eV/atom.

3.
# AcSmNi4

Crystalline AcSmNi4 at its relaxed geometry (PBE, the Alexandria database).

extended XYZ file:
```
6
Lattice="5.241 0.000 0.000 2.621 4.539 0.000 2.621 1.513 4.279" Properties=species:S:1:pos:R:3 pbc="T T T"
Ni 5.241 3.026 0.543
Ni 5.241 1.521 2.672
Ni 6.545 3.779 2.672
Ni 3.938 3.779 2.672
Ac 0.000 0.000 0.000
Sm 2.621 1.513 1.070
```

Computed properties:
The value obtained for the formation energy is -0.252 eV/atom.

4.
# TlBiC2O6

Crystalline TlBiC2O6 at its relaxed geometry (PBE, the Alexandria database).

extended XYZ file:
```
20
Lattice="6.693 0.137 -0.101 -0.684 6.660 -0.101 -1.842 -2.084 6.879" Properties=species:S:1:pos:R:3 pbc="T T T"
Tl -0.297 5.390 1.619
Tl 4.464 -0.677 5.059
Bi 3.202 2.296 1.619
Bi 0.966 2.417 5.059
C 1.145 -0.447 5.049
C 3.830 2.590 5.069
C 3.022 5.160 1.629
C 0.337 2.123 1.610
O 5.775 2.285 1.437
O 3.528 -0.256 1.802
O -1.607 2.428 5.241
O 0.639 4.969 4.877
O 1.097 1.503 0.739
O 3.732 4.482 2.500
O 3.070 3.210 5.939
O 0.436 0.231 4.178
O 1.019 2.765 2.565
O 2.469 4.405 0.674
O 3.148 1.948 4.114
O 1.698 0.308 6.004
```

Computed properties:
Its raw formation energy is -1.30 eV/atom.

5.
# Pr3DyH

Crystalline Pr3DyH at its relaxed geometry (PBE, the Alexandria database).

extended XYZ file:
```
5
Lattice="-0.900 -3.316 -3.882 3.966 -2.937 1.589 -3.216 -2.694 3.046" Properties=species:S:1:pos:R:3 pbc="T T T"
Pr 1.983 -1.469 0.794
Pr -1.608 -1.347 1.523
Pr -0.450 -1.658 -1.941
H 0.000 0.000 0.000
Dy -0.075 -4.473 0.376
```

Computed properties:
As for the final energy: -23.11 eV for the cell shown.

6.
# KLiTlBrF

Crystalline KLiTlBrF at its relaxed geometry (PBE, the Alexandria database).

extended XYZ file:
```
10
Lattice="6.492 0.000 0.012 0.000 3.935 0.000 -4.329 0.000 11.091" Properties=species:S:1:pos:R:3 pbc="T T T"
K -2.836 0.000 7.887
K -0.671 1.967 2.342
F 4.325 0.000 1.703
F 2.160 1.967 7.249
Tl 2.687 0.000 3.811
Tl 0.523 1.967 9.356
Br -0.502 0.000 5.290
Br -2.667 1.967 10.835
Li 3.171 0.000 0.328
Li 1.007 1.967 5.874
```

Computed properties:
Its raw formation energy is -1.51 eV/atom.

Computed spin magnetization, in the same sequence as the records: 0.0 0.0 0.0 0.0 0.0 0.0 μB/cell.
Computed density, in the same sequence as the records: 6.1 7.1 10.0 5.8 7.0 4.1 g/cm³.